[1]
Compound: RbU2CoO8
Source: Alexandria
Functional: GGA+U
Structure: optimized geometry

Computed properties:
Raw total energy, eV per atom: -8.019

Cell lengths 8.114, 6.708, 7.127 Å; angles 90.00, 95.55, 90.00 degrees
Space group C2/m (No. 12)
One atom of each set of equivalent atoms:
Rb 0.000 0.000 0.000
U 0.006 0.500 0.261
Co 0.000 0.000 0.500
O 0.016 0.203 0.686
O 0.149 0.500 0.970
O 0.163 0.500 0.488

=====

[2]
Compound: RbVCoO2
Source: Alexandria
Functional: GGA+U
Structure: optimized geometry

Computed properties:
Raw total energy, eV per atom: -3.187
D(E_F), states/eV/f.u.: 0.92

Cell lengths 4.333, 4.333, 5.655 Å; angles 90.00, 90.00, 90.00 degrees
Space group P4/mmm (No. 123)
One atom of each set of equivalent atoms:
Rb 0.000 0.000 0.000
V 0.500 0.500 0.500
Co 0.000 0.000 0.500
O 0.000 0.500 0.000

=====

[3]
Compound: RbV2CoO8
Source: Alexandria
Functional: GGA+U
Structure: optimized geometry

Computed properties:
Raw total energy, eV per atom: -6.441
D(E_F), states/eV/f.u.: 5.35

Cell lengths 5.1424, 5.1424, 8.2349 Å; angles 90.00, 90.00, 120.00 degrees
Space group P-3 (No. 147)
One atom of each set of equivalent atoms:
Rb 0.0000 0.0000 0.0000
V 0.3333 0.6667 0.6871
Co 0.0000 0.0000 0.5000
O 0.0327 0.3086 0.6306
O 0.3333 0.6667 0.8901

=====

[4]
Compound: Rb2CoW3O12
Source: Alexandria
Functional: GGA+U
Structure: optimized geometry

Computed properties:
Raw total energy, eV per atom: -6.688
D(E_F), states/eV/f.u.: 6.54

Cell lengths 7.3467, 7.3467, 17.2464 Å; angles 90.00, 90.00, 120.00 degrees
Space group R-3m (No. 166, hexagonal axes)
One atom of each set of equivalent atoms:
Rb 0.0000 0.0000 0.1329
Co 0.0000 0.0000 0.5000
W 0.0000 0.5000 0.0000
O 0.0832 0.5416 0.3597
O 0.0927 0.5463 0.1044

=====

[5]
Compound: Rb2YCoO4
Source: Alexandria
Functional: GGA+U
Structure: optimized geometry

Computed properties:
Raw total energy, eV per atom: -5.790

Cell lengths 5.694, 12.774, 22.743 Å; angles 90.00, 90.00, 90.00 degrees
Space group Fddd (No. 70, origin choice 2)
One atom of each set of equivalent atoms:
Rb 0.125 0.125 0.315
Y 0.125 0.125 0.125
Co 0.125 0.125 0.625
O 0.096 0.284 0.839

=====

[6]
Compound: RbY2CoO
Source: Alexandria
Functional: GGA+U
Structure: optimized geometry

Computed properties:
Raw total energy, eV per atom: -4.212
D(E_F), states/eV/f.u.: 3.66

Cell lengths 5.008, 5.008, 5.149 Å; angles 90.00, 90.00, 90.00 degrees
Space group P4/mmm (No. 123)
One atom of each set of equivalent atoms:
Rb 0.000 0.000 0.000
Y 0.000 0.500 0.500
Co 0.500 0.500 0.500
O 0.500 0.500 0.000

=====

[7]
Compound: CoRe2O12
Source: Alexandria
Functional: GGA+U
Structure: optimized geometry

Computed properties:
Raw total energy, eV per atom: -6.538
D(E_F), states/eV/f.u.: 3.72

Cell lengths 6.150, 6.720, 7.531 Å; angles 113.95, 95.22, 110.46 degrees
Space group P-1 (No. 2)
One atom of each set of equivalent atoms:
Co 0.000 0.000 0.000
Re 0.209 0.619 0.313
O 0.036 0.783 0.338
O 0.044 0.326 0.090
O 0.125 0.082 0.257
O 0.270 0.601 0.534
O 0.310 0.084 0.019
O 0.480 0.772 0.279

=====

[8]
Compound: CoRe3O
Source: Alexandria
Functional: GGA+U
Structure: optimized geometry

Computed properties:
Relative energy among the computed polymorphs, kJ per mole of atoms: 180.63
Raw total energy, eV per atom: -6.931
D(E_F), states/eV/f.u.: 6.07

Cell lengths 4.393, 4.393, 4.393 Å; angles 90.00, 90.00, 90.00 degrees
Space group Pm-3m (No. 221)
One atom of each set of equivalent atoms:
Co 0.000 0.000 0.000
Re 0.000 0.000 0.500
O 0.500 0.500 0.500

=====

[9]
Compound: CoReO2
Source: Alexandria
Functional: GGA+U
Structure: optimized geometry

Computed properties:
Relative energy among the computed polymorphs, kJ per mole of atoms: 38.92
Raw total energy, eV per atom: -7.133
D(E_F), states/eV/f.u.: 3.20

Cell lengths 4.785, 4.785, 8.547 Å; angles 90.00, 90.00, 90.00 degrees
Space group I-42d (No. 122)
One atom of each set of equivalent atoms:
Co 0.000 0.000 0.000
Re 0.000 0.000 0.500
O 0.235 0.250 0.125